## a
A geometry-optimized Pr2Sn5Rh3 structure. Source: Alexandria via LeMat-Bulk, functional PBE.

Output
DOS at the Fermi energy ... 28.58 states/eV per cell
Magnetic moment ... 0.01 μB/cell

```
data_Pr2Sn5Rh3
_cell_length_a 10.911
_cell_length_b 12.952
_cell_length_c 6.446
_cell_angle_alpha 90.00
_cell_angle_beta 90.00
_cell_angle_gamma 90.00
_space_group_name_H-M_alt 'I b a m'
_space_group_IT_number 72
_space_group_name_Hall '-I 2 2c'
loop_
_atom_site_label
_atom_site_fract_x
_atom_site_fract_y
_atom_site_fract_z
Pr1 0.228 0.146 0.000
Sn1 0.000 0.000 0.250
Sn2 0.000 0.280 0.250
Sn3 0.170 0.414 0.000
Rh1 0.000 0.500 0.250
Rh2 0.104 0.142 0.500
```

## b
A geometry-optimized Pr2Sn5Rh3 structure. Source: Alexandria via LeMat-Bulk, functional PBE.

Output
DOS at the Fermi energy ... 21.14 states/eV per cell
Magnetic moment ... 0.00 μB/cell

```
data_Pr2Sn5Rh3
_cell_length_a 4.532
_cell_length_b 26.852
_cell_length_c 7.327
_cell_angle_alpha 90.00
_cell_angle_beta 90.00
_cell_angle_gamma 90.00
_space_group_name_H-M_alt 'C m c 21'
_space_group_IT_number 36
loop_
_space_group_symop_operation_xyz
'x,y,z'
'-x,-y,z+1/2'
'-x,y,z'
'x,-y,z+1/2'
'x+1/2,y+1/2,z'
'-x+1/2,-y+1/2,z+1/2'
'-x+1/2,y+1/2,z'
'x+1/2,-y+1/2,z+1/2'
loop_
_atom_site_label
_atom_site_fract_x
_atom_site_fract_y
_atom_site_fract_z
Pr1 0.000 0.024 0.000
Pr2 0.000 0.327 0.023
Sn1 0.000 0.096 0.375
Sn2 0.000 0.206 0.820
Sn3 0.000 0.210 0.241
Sn4 0.000 0.379 0.498
Sn5 0.000 0.451 0.164
Rh1 0.000 0.107 0.747
Rh2 0.000 0.277 0.531
Rh3 0.000 0.449 0.782
```

Consider the structures shown above. The most stable of them is b.